Entry from Alexandria via LeMat-Bulk: Sb2OsSI after structural relaxation (PBE).

Output
Crystal system: tetragonal
Magnetic moment in μB/atom: 0.0000
SG: P4/mmm (123)
Formation energy (no corrections) in meV/atom: 805
Energy above the lowest structure with this stoichiometry in eV per atom: 0.000

Unit cell a=5.083 b=5.083 c=5.493 alpha=90.00 beta=90.00 gamma=90.00
Atoms (fractional coordinates):
I (0.000, 0.000, 0.500)
Sb (0.000, 0.500, 0.000)
Sb (0.500, 0.000, 0.000)
S (0.500, 0.500, 0.500)
Os (0.000, 0.000, 0.000)